# 1
Here is a relaxed structure of Pm4YHo2Sc from Alexandria via LeMat-Bulk. Energies are from GGA-PBE.

Uncorrected energy (eV/cell): -40.7
Crystal system: tetragonal
Fermi-level density of states (states/eV/cell): 11.2
Formation enthalpy at 0 K (kJ/mol of atoms): 3
Total magnetization (μB per formula unit): 0.000

Cell and atoms, written as extended XYZ:
```
8
Lattice="-2.5027 -4.4155 -0.0768 4.2957 -2.4143 -1.1792 6.2306 -3.6787 8.4608" Properties=species:S:1:pos:R:3 pbc="T T T"
Pm 7.8852 -4.5634 5.4025
Pm 0.1384 -5.9452 1.8022
Pm 3.5382 -4.9449 1.2504
Pm 4.4854 -5.5636 5.9543
Y 0.8965 -3.4149 -0.6280
Ho 6.2306 -3.6787 8.4608
Ho 1.8639 -4.0471 4.1920
Sc 5.2632 -3.0465 3.6409
```


# 2
Here is a relaxed structure of Pm2Y4Ho2Sc from Alexandria via LeMat-Bulk. Energies are from GGA-PBE.

Uncorrected energy (eV/cell): -50.7
Crystal system: monoclinic
Fermi-level density of states (states/eV/cell): 13.0
Formation enthalpy at 0 K (kJ/mol of atoms): 1
Total magnetization (μB per formula unit): 0.001

Cell and atoms, written as extended XYZ:
```
9
Lattice="-1.1589 1.0513 3.2219 3.3877 -8.5741 2.0254 6.4357 6.9836 0.0362" Properties=species:S:1:pos:R:3 pbc="T T T"
Pm 1.9118 -5.3964 2.4485
Pm 6.7527 4.8572 2.8349
Y 5.4856 0.1115 3.9277
Y 3.1789 -0.6507 1.3557
Y 1.6572 2.5306 1.7612
Y 7.0073 -3.0698 3.5222
Ho 3.5615 -2.8010 4.1859
Ho 5.1029 2.2618 1.0975
Sc 0.0000 0.0000 0.0000
```


# 3
Here is a relaxed structure of Pm6Y2Ho3Sc from Alexandria via LeMat-Bulk. Energies are from GGA-PBE.

Uncorrected energy (eV/cell): -61.2
Crystal system: monoclinic
Fermi-level density of states (states/eV/cell): 13.9
Formation enthalpy at 0 K (kJ/mol of atoms): 2
Total magnetization (μB per formula unit): 0.000

Cell and atoms, written as extended XYZ:
```
12
Lattice="6.2076 -0.0003 0.0043 -3.1026 5.3766 0.0043 -1.0399 -1.8006 11.5482" Properties=species:S:1:pos:R:3 pbc="T T T"
Pm 3.0908 1.8066 8.6850
Pm 2.0778 3.5976 2.8790
Pm -1.0257 1.7691 2.8717
Pm 0.0202 3.5800 8.6850
Pm -0.0127 -0.0219 8.6778
Pm 2.0449 -0.0043 2.8717
Y 0.0010 3.5842 0.0043
Y 3.1040 1.7921 0.0043
Ho -2.0716 3.5806 5.7784
Ho 4.1367 -0.0049 5.7784
Ho 1.0326 1.7879 5.7784
Sc 0.0000 0.0000 0.0000
```


# 4
Here is a relaxed structure of PmY2Ho6Sc3 from Alexandria via LeMat-Bulk. Energies are from GGA-PBE.

Uncorrected energy (eV/cell): -63.6
Crystal system: monoclinic
Fermi-level density of states (states/eV/cell): 18.1
Formation enthalpy at 0 K (kJ/mol of atoms): 4
Total magnetization (μB per formula unit): 0.000

Cell and atoms, written as extended XYZ:
```
12
Lattice="6.0405 0.0009 0.0146 -3.0180 5.2325 0.0146 -1.0321 -1.7871 11.2893" Properties=species:S:1:pos:R:3 pbc="T T T"
Pm 0.0000 0.0000 0.0000
Y 0.0020 3.4883 0.0146
Y 3.0205 1.7450 0.0146
Ho 2.9999 1.7116 8.3681
Ho 2.0111 3.4823 2.9647
Ho -1.0095 1.7347 2.9505
Ho -0.0167 3.4537 8.3681
Ho -0.0208 -0.0360 8.3539
Ho 2.0070 -0.0075 2.9505
Sc -2.0224 3.4658 5.6593
Sc 4.0127 -0.0196 5.6593
Sc 0.9952 1.7231 5.6593
```


# 5
Here is a relaxed structure of Pm2Y3Ho6Sc from Alexandria via LeMat-Bulk. Energies are from GGA-PBE.

Uncorrected energy (eV/cell): -62.3
Crystal system: monoclinic
Fermi-level density of states (states/eV/cell): 16.4
Formation enthalpy at 0 K (kJ/mol of atoms): 3
Total magnetization (μB per formula unit): 0.000

Cell and atoms, written as extended XYZ:
```
12
Lattice="-1.1599 -5.4182 -2.5929 0.3776 0.4561 6.0889 -11.0799 3.8155 -0.6194" Properties=species:S:1:pos:R:3 pbc="T T T"
Pm -0.1352 -1.5033 3.1931
Pm -0.6471 -3.4588 0.3029
Y -5.4179 1.3875 4.3362
Y -6.4443 -2.5341 -1.4596
Y -5.9311 -0.5733 1.4383
Ho -9.1669 -1.8356 0.7294
Ho -3.3483 -2.7828 2.4759
Ho -2.6954 0.6890 2.1472
Ho -8.6588 0.1054 3.5982
Ho -8.5139 1.6362 0.4007
Ho -3.2034 -1.2520 -0.7216
Sc 0.0000 0.0000 0.0000
```


# 6
Here is a relaxed structure of PmYHoSc from Alexandria via LeMat-Bulk. Energies are from GGA-PBE.

Uncorrected energy (eV/cell): -21.7
Crystal system: cubic
Fermi-level density of states (states/eV/cell): 7.0
Excess energy over the best structure of this formula in the dataset (meV/atom): 11
Formation enthalpy at 0 K (kJ/mol of atoms): 11
Total magnetization (μB per formula unit): 0.000

Cell and atoms, written as extended XYZ:
```
4
Lattice="5.5747 0.0000 0.0000 2.7873 4.8278 0.0000 2.7873 1.6093 4.5517" Properties=species:S:1:pos:R:3 pbc="T T T"
Y 5.5747 3.2185 2.2759
Sc 8.3620 4.8278 3.4138
Ho 2.7873 1.6093 1.1379
Pm 0.0000 0.0000 0.0000
```


# 7
Here is a relaxed structure of PmY2Ho2Sc from Alexandria via LeMat-Bulk. Energies are from GGA-PBE.

Uncorrected energy (eV/cell): -65.4
Crystal system: orthorhombic
Fermi-level density of states (states/eV/cell): 22.1
Formation enthalpy at 0 K (kJ/mol of atoms): 7
Total magnetization (μB per formula unit): 0.000

Cell and atoms, written as extended XYZ:
```
12
Lattice="5.5707 0.0000 0.0000 0.0000 6.8997 0.0000 0.0000 0.0000 9.6153" Properties=species:S:1:pos:R:3 pbc="T T T"
Pm 0.0000 0.0533 4.8065
Pm 0.0000 3.5032 4.8088
Y 2.7853 0.0514 0.0009
Y 0.0000 1.7758 1.5553
Y 2.7853 3.5013 9.6144
Y 0.0000 5.2257 8.0600
Ho 0.0000 1.7754 7.9519
Ho 2.7853 1.7794 3.2465
Ho 0.0000 5.2253 1.6634
Ho 2.7853 5.2293 6.3689
Sc 2.7853 1.7790 6.4512
Sc 2.7853 5.2289 3.1642
```


# 8
Here is a relaxed structure of Pm3Y6Ho2Sc from Alexandria via LeMat-Bulk. Energies are from GGA-PBE.

Uncorrected energy (eV/cell): -68.1
Crystal system: monoclinic
Fermi-level density of states (states/eV/cell): 17.9
Formation enthalpy at 0 K (kJ/mol of atoms): 3
Total magnetization (μB per formula unit): 0.000

Cell and atoms, written as extended XYZ:
```
12
Lattice="6.1696 0.0007 -0.0003 -3.0827 5.3443 -0.0003 -1.0258 -1.7762 11.5929" Properties=species:S:1:pos:R:3 pbc="T T T"
Pm -2.0549 3.5663 5.7961
Pm 4.1159 0.0024 5.7961
Pm 1.0305 1.7844 5.7961
Y 3.0818 1.8011 8.7584
Y 2.0647 3.5750 2.8361
Y -1.0208 1.7676 2.8338
Y 0.0199 3.5695 8.7584
Y -0.0036 -0.0063 8.7561
Y 2.0412 -0.0008 2.8338
Ho 0.0030 3.5622 -0.0003
Ho 3.0839 1.7828 -0.0003
Sc 0.0000 0.0000 0.0000
```


# 9
Here is a relaxed structure of PmYHo2Sc4 from Alexandria via LeMat-Bulk. Energies are from GGA-PBE.

Uncorrected energy (eV/cell): -45.3
Crystal system: tetragonal
Fermi-level density of states (states/eV/cell): 13.9
Formation enthalpy at 0 K (kJ/mol of atoms): 5
Total magnetization (μB per formula unit): 0.002

Cell and atoms, written as extended XYZ:
```
8
Lattice="-0.6344 0.6296 -4.8359 -3.0472 -3.8518 -0.1017 -10.2524 1.7967 1.5789" Properties=species:S:1:pos:R:3 pbc="T T T"
Pm -6.6498 -1.0275 0.7386
Y -12.0932 0.1855 -0.8899
Ho -10.2524 1.7966 1.5789
Ho -5.4434 1.2131 -1.6285
Sc -9.9769 -1.5393 1.1084
Sc -3.9571 0.1137 -4.4671
Sc -5.1633 -2.1264 -2.1000
Sc -8.7707 0.7009 -1.2587
```


# 10
Here is a relaxed structure of PmHoScZn from Alexandria via LeMat-Bulk. Energies are from GGA-PBE.

Uncorrected energy (eV/cell): -17.0
Crystal system: cubic
Fermi-level density of states (states/eV/cell): 4.5
Excess energy over the best structure of this formula in the dataset (meV/atom): 145
Formation enthalpy at 0 K (kJ/mol of atoms): -1
Total magnetization (μB per formula unit): 0.001

Cell and atoms, written as extended XYZ:
```
4
Lattice="5.2544 0.0000 0.0000 2.6272 4.5504 0.0000 2.6272 1.5168 4.2902" Properties=species:S:1:pos:R:3 pbc="T T T"
Sc 5.2544 3.0336 2.1451
Zn 0.0000 0.0000 0.0000
Ho 7.8816 4.5504 3.2177
Pm 2.6272 1.5168 1.0726
```


# 11
Here is a relaxed structure of PmHoScZn from Alexandria via LeMat-Bulk. Energies are from GGA-PBE.

Uncorrected energy (eV/cell): -17.5
Crystal system: tetragonal
Fermi-level density of states (states/eV/cell): 4.1
Excess energy over the best structure of this formula in the dataset (meV/atom): 0
Formation enthalpy at 0 K (kJ/mol of atoms): -15
Total magnetization (μB per formula unit): 0.000

Cell and atoms, written as extended XYZ:
```
4
Lattice="-1.7964 -2.6882 1.2879 2.5729 -0.6391 2.2548 -3.6841 5.1792 5.6719" Properties=species:S:1:pos:R:3 pbc="T T T"
Pm -0.3156 0.4437 0.4859
Ho -2.4631 2.3448 6.1611
Sc -0.9897 0.2734 3.8926
Zn -2.0302 2.8541 3.1256
```


# 12
Here is a relaxed structure of PmHo2ZrSc4 from Alexandria via LeMat-Bulk. Energies are from GGA-PBE.

Uncorrected energy (eV/cell): -47.3
Crystal system: monoclinic
Fermi-level density of states (states/eV/cell): 12.4
Formation enthalpy at 0 K (kJ/mol of atoms): 5
Total magnetization (μB per formula unit): 0.000

Cell and atoms, written as extended XYZ:
```
8
Lattice="-3.4104 -1.3500 -3.0681 -2.1130 -2.5448 3.4685 -7.1952 4.9143 5.8354" Properties=species:S:1:pos:R:3 pbc="T T T"
Pm -9.9569 2.9668 6.0355
Ho -7.1952 4.9143 5.8354
Ho -5.3028 1.7821 1.3836
Zr -4.6541 1.1848 4.6519
Sc -6.9177 1.6840 6.9482
Sc -5.8010 -0.6646 -0.7125
Sc -5.1522 -1.2617 2.5555
Sc -7.5665 2.2811 3.6802
```


# 13
Here is a relaxed structure of PmHoZrSc from Alexandria via LeMat-Bulk. Energies are from GGA-PBE.

Uncorrected energy (eV/cell): -23.4
Crystal system: cubic
Fermi-level density of states (states/eV/cell): 7.9
Formation enthalpy at 0 K (kJ/mol of atoms): 19
Total magnetization (μB per formula unit): 0.810

Cell and atoms, written as extended XYZ:
```
4
Lattice="-1.3489 1.5652 -4.9731 -2.5151 -3.4226 -3.3108 -5.1751 0.7887 -1.2639" Properties=species:S:1:pos:R:3 pbc="T T T"
Sc 0.0000 0.0000 0.0000
Ho -4.5196 -0.5343 -4.7739
Zr -6.7793 -0.8015 -7.1609
Pm -2.2598 -0.2672 -2.3870
```


# 14
Here is a relaxed structure of Pm2HoSe from Alexandria via LeMat-Bulk. Energies are from GGA-PBE.

Uncorrected energy (eV/cell): -20.6
Crystal system: trigonal
Fermi-level density of states (states/eV/cell): 4.8
Energy relative to the elements, uncorrected (eV per atom): -0.770
Total magnetization (μB per formula unit): 0.498

Cell and atoms, written as extended XYZ:
```
4
Lattice="-3.7838 -0.5774 -0.5193 -2.0931 -1.6945 2.7691 -3.8177 7.9141 4.6514" Properties=species:S:1:pos:R:3 pbc="T T T"
Ho -4.8473 2.8211 3.4506
Se 0.0000 0.0000 0.0000
Pm -2.3290 0.9689 1.5266
Pm -7.3656 4.6733 5.3746
```


# 15
Here is a relaxed structure of Pm3Ho5Se8 from Alexandria via LeMat-Bulk. Energies are from GGA-PBE.

Uncorrected energy (eV/cell): -93.2
Crystal system: trigonal
Fermi-level density of states (states/eV/cell): 9.8
Energy relative to the elements, uncorrected (eV per atom): -1.760
Total magnetization (μB per formula unit): 0.000

Cell and atoms, written as extended XYZ:
```
16
Lattice="0.5804 4.1026 7.0508 5.0002 -2.6798 5.8906 6.9023 4.2020 1.7297" Properties=species:S:1:pos:R:3 pbc="T T T"
Pm 3.7414 4.1523 4.3903
Pm 3.4512 2.1010 0.8649
Pm 5.9513 0.7611 3.8102
Ho 0.2902 2.0513 3.5254
Ho 2.7903 0.7114 6.4707
Ho 0.0000 0.0000 0.0000
Ho 2.5001 -1.3399 2.9453
Ho 6.2415 2.8124 7.3356
Se 6.6352 3.5460 4.5471
Se 9.0907 2.2299 7.4400
Se 6.9202 5.5608 8.0098
Se 9.4317 4.2700 10.9677
Se 5.8478 2.0789 10.1240
Se 3.3922 3.3949 7.2312
Se 5.5627 0.0641 6.6614
Se 3.0513 1.3548 3.7034
```


# 16
Here is a relaxed structure of Pm6HoSe8 from Alexandria via LeMat-Bulk. Energies are from GGA-PBE.

Uncorrected energy (eV/cell): -89.1
Crystal system: cubic
Fermi-level density of states (states/eV/cell): 6.8
Energy relative to the elements, uncorrected (eV per atom): -1.875
Total magnetization (μB per formula unit): 0.000

Cell and atoms, written as extended XYZ:
```
15
Lattice="8.3540 0.0000 0.0000 4.1770 7.2348 0.0000 4.1770 2.4116 6.8210" Properties=species:S:1:pos:R:3 pbc="T T T"
Pm 4.1770 4.8232 3.4105
Pm 4.1770 0.0000 0.0000
Pm 6.2655 3.6174 0.0000
Pm 2.0885 1.2058 3.4105
Pm 2.0885 3.6174 0.0000
Pm 6.2655 1.2058 3.4105
Ho 0.0000 0.0000 0.0000
Se 12.5310 7.2348 5.1158
Se 4.1770 2.4116 1.7053
Se 8.3540 2.3788 1.6821
Se 8.3540 7.2676 5.1389
Se 6.2371 3.6010 5.1389
Se 10.4709 6.0454 1.6821
Se 10.4709 3.6010 5.1389
Se 6.2371 6.0454 1.6821
```


# 17
Here is a relaxed structure of Pm4Ho3Se8 from Alexandria via LeMat-Bulk. Energies are from GGA-PBE.

Uncorrected energy (eV/cell): -84.9
Crystal system: trigonal
Fermi-level density of states (states/eV/cell): 6.8
Excess energy over the best structure of this formula in the dataset (meV/atom): 218
Energy relative to the elements, uncorrected (eV per atom): -1.620
Total magnetization (μB per formula unit): 0.000

Cell and atoms, written as extended XYZ:
```
15
Lattice="7.1445 0.0000 3.8532 2.5332 6.6803 3.8532 -0.2113 -0.1459 8.9420" Properties=species:S:1:pos:R:3 pbc="T T T"
Pm 0.0000 0.0000 0.0000
Pm 3.2278 2.2281 11.1155
Pm 4.7332 3.2672 8.3242
Pm 6.2386 4.3064 5.5329
Ho 3.4666 -0.0729 6.3976
Ho -0.1057 -0.0729 4.4710
Ho 1.1609 3.2672 6.3976
Se 2.1748 1.5012 4.5177
Se 3.5329 4.9711 6.1592
Se 7.2016 4.9711 8.1378
Se 5.9008 1.5407 6.1592
Se 7.2915 5.0332 12.1307
Se 5.9335 1.5633 10.4892
Se 2.2647 1.5633 8.5105
Se 3.5655 4.9937 10.4892
```


# 18
Here is a relaxed structure of Pm3HoSe6 from Alexandria via LeMat-Bulk. Energies are from GGA-PBE.

Uncorrected energy (eV/cell): -116.3
Crystal system: monoclinic
Fermi-level density of states (states/eV/cell): 0.0
Excess energy over the best structure of this formula in the dataset (meV/atom): 21
Energy relative to the elements, uncorrected (eV per atom): -1.843
Total magnetization (μB per formula unit): 0.000

Cell and atoms, written as extended XYZ:
```
20
Lattice="-2.0708 -5.3055 -4.0253 4.1785 -4.8604 4.2566 -8.2816 -1.4557 6.4675" Properties=species:S:1:pos:R:3 pbc="T T T"
Pm -3.5731 -8.3373 6.4525
Pm 1.0538 -5.0829 0.1156
Pm -2.6009 -3.2843 0.2463
Pm 0.3811 -3.5353 3.9866
Pm -4.1408 -0.7278 3.2337
Pm -6.5551 -8.0863 2.7122
Ho -3.0870 -5.8108 3.3494
Ho 0.0000 0.0000 0.0000
Se -8.2516 -5.7951 3.9846
Se -5.4103 -5.2831 1.8536
Se -1.6376 -6.0081 0.8712
Se -4.5364 -5.6134 5.8275
Se -0.7637 -6.3385 4.8451
Se 2.0777 -5.8265 2.7141
Se -2.4893 -3.0963 3.3606
Se 0.3079 -2.5329 1.1846
Se -6.3335 -2.2331 4.4974
Se 0.1596 -9.3884 2.2014
Se -6.4818 -9.0887 5.5142
Se -3.6847 -8.5253 3.3381
```


# 19
Here is a relaxed structure of PmHoSe from Alexandria via LeMat-Bulk. Energies are from GGA-PBE.

Uncorrected energy (eV/cell): -16.1
Crystal system: trigonal
Fermi-level density of states (states/eV/cell): 1.1
Excess energy over the best structure of this formula in the dataset (meV/atom): 0
Energy relative to the elements, uncorrected (eV per atom): -1.103
Total magnetization (μB per formula unit): 0.016

Cell and atoms, written as extended XYZ:
```
3
Lattice="3.8976 0.0000 0.0000 -1.9488 3.3754 0.0000 0.0000 0.0000 6.6382" Properties=species:S:1:pos:R:3 pbc="T T T"
Ho 0.0000 2.2503 4.0332
Se 1.9488 1.1251 2.2600
Pm 0.0000 0.0000 0.3450
```


# 20
Here is a relaxed structure of Pm2Ho2Se5 from Alexandria via LeMat-Bulk. Energies are from GGA-PBE.

Uncorrected energy (eV/cell): -101.6
Crystal system: orthorhombic
Fermi-level density of states (states/eV/cell): 6.2
Excess energy over the best structure of this formula in the dataset (meV/atom): 111
Energy relative to the elements, uncorrected (eV per atom): -1.636
Total magnetization (μB per formula unit): 0.000

Cell and atoms, written as extended XYZ:
```
18
Lattice="-0.8873 -2.5095 -7.8320 6.9817 0.9261 -1.0877 -1.5361 -7.6313 6.9876" Properties=species:S:1:pos:R:3 pbc="T T T"
Pm 3.8022 -1.2783 -0.6351
Pm 0.9376 -7.9124 -1.3254
Pm -0.0076 -2.6434 -2.9066
Pm 4.7474 -6.5472 0.9461
Ho 6.8333 0.9064 -1.0646
Ho 2.8988 -0.8114 -4.4368
Ho 1.1348 -3.9138 2.0292
Ho 3.9984 -5.2247 -4.0509
Se 3.5407 -7.0843 3.6942
Se 4.9057 -1.6147 -6.2321
Se 0.1227 -7.3412 4.8813
Se 1.3420 -2.2839 -6.3315
Se -0.3281 -2.8348 0.0071
Se 3.5326 -6.5596 -1.7284
Se 2.9097 -3.0874 -2.7704
Se 0.2948 -6.3070 1.0491
Se 3.8043 -3.6273 1.3882
Se -0.2637 -5.7225 -3.1618
```